RbLaFeF2: PBEsol geometry, SCAN. Values from VASP.

Quantum ESPRESSO input file:
```
&SYSTEM
  ibrav = 0, nat = 5, ntyp = 4
/
ATOMIC_SPECIES
Rb 85.47 Rb.upf
F 19.00 F.upf
La 138.91 La.upf
Fe 55.84 Fe.upf
ATOMIC_POSITIONS crystal
Rb 0.5000 0.5000 0.5000
F 0.5000 0.0000 0.0000
F 0.0000 0.5000 0.0000
La 0.0000 0.0000 0.0000
Fe 0.0000 0.0000 0.5000
CELL_PARAMETERS angstrom
-0.2446 0.5740 -4.7090
-4.7249 0.3916 0.2931
0.4839 5.3682 0.6292
```

Values from the calculation:
**V**: 24.49 Å³ per atom
**Raw total energy**: -97.4 eV per formula unit
**DOS(E_F)**: 0.51 states/eV/atom
**ΔE_f (raw)**: -1.6761 eV/atom



CeInAg2: PBEsol geometry, SCAN. Values from VASP.

Quantum ESPRESSO input file:
```
&SYSTEM
  ibrav = 0, nat = 4, ntyp = 3
/
ATOMIC_SPECIES
Ce 140.12 Ce.upf
In 114.82 In.upf
Ag 107.87 Ag.upf
ATOMIC_POSITIONS crystal
Ce 0.5000 0.5000 0.5000
In 0.0000 0.0000 0.0000
Ag 0.2500 0.2500 0.2500
Ag 0.7500 0.7500 0.7500
CELL_PARAMETERS angstrom
4.9371 0.0000 0.0000
2.4686 4.2757 0.0000
2.4686 1.4252 4.0311
```

Values from the calculation:
**V**: 21.27 Å³ per atom
**Formation energy**: -0.327 eV per atom
**Raw total energy**: -142.0 eV per formula unit
**DOS(E_F)**: 0.89 states/eV/atom



ZnAgBr2: PBEsol geometry, SCAN. Values from VASP.

Quantum ESPRESSO input file:
```
&SYSTEM
  ibrav = 0, nat = 4, ntyp = 3
/
ATOMIC_SPECIES
Ag 107.87 Ag.upf
Zn 65.41 Zn.upf
Br 79.90 Br.upf
ATOMIC_POSITIONS crystal
Ag 0.5000 0.0000 0.0000
Zn 0.5000 0.0000 0.5000
Br 0.0000 0.0000 0.2497
Br 0.0000 0.0000 0.7503
CELL_PARAMETERS angstrom
-1.9468 0.9563 -3.1930
3.1557 -2.0586 -0.2074
-4.0948 -6.3375 0.5986
```

Values from the calculation:
**V**: 23.68 Å³ per atom
**Raw total energy**: -84.4 eV per formula unit
**E above lowest polymorph**: 124 meV per atom
**DOS(E_F)**: 0.30 states/eV/atom
**ΔE_f (raw)**: -0.1438 eV/atom



Question: Among the records above, which one has the highest V?
Answer: RbLaFeF2